Entry 1:
The following is a DFT calculation (PBE) of crystalline PuAl2Cd at its relaxed geometry.

Structure (POSCAR):
```
PuAl2Cd
1.0
0.0000 3.4771 3.4771
3.4771 0.0000 3.4771
3.4771 3.4771 0.0000
Pu Al Cd
1 2 1
Cartesian
0.0000 0.0000 0.0000 Pu
1.7385 1.7385 1.7385 Al
5.2156 5.2156 5.2156 Al
3.4771 3.4771 3.4771 Cd
```

Properties
Electronic total energy (eV per atom): -5.722
Energy relative to the lowest polymorph listed for this composition (kcal/mol of atoms): 1.086
Space-group type: Fm-3m (225)
Formation enthalpy at 0 K (eV/f.u.): -0.16
Fermi-level density of states (states/eV per cell): 8.41

Entry 2:
The following is a DFT calculation (PBE) of crystalline PaSe2BrO8 at its relaxed geometry.

Structure (POSCAR):
```
PaSe2BrO8
1.0
6.2726 0.0000 0.0000
-3.1363 5.4322 0.0000
0.0000 0.0000 6.0934
Pa Se Br O
1 2 1 8
Cartesian
0.0000 0.0000 0.0000 Pa
0.0000 3.6215 4.5785 Se
3.1363 1.8107 1.5149 Se
0.0000 0.0000 3.0467 Br
0.0000 2.0820 5.2717 O
-1.3332 4.3912 5.2717 O
0.0000 3.6215 2.9636 O
1.8031 1.0410 0.8216 O
1.3332 4.3912 5.2717 O
3.1363 1.8107 3.1298 O
4.4695 1.0410 0.8216 O
3.1363 3.3502 0.8216 O
```

Properties
Uncorrected formation energy (eV per atom): -1.227
Electronic total energy (eV per atom): -6.044
Space-group type: P-3m1 (164)